1.
{"formula": "K2Sn3Sb3", "functional": "PBE", "state": "optimized geometry", "lattice_angstrom": [[4.206, 0.000, 0.000], [-2.103, 8.067, 0.000], [0.000, 0.000, 17.301]], "species": ["K", "K", "K", "K", "Sn", "Sn", "Sn", "Sn", "Sn", "Sn", "Sb", "Sb", "Sb", "Sb", "Sb", "Sb"], "frac_coords": [[0.836, 0.672, 0.607], [0.164, 0.328, 0.107], [0.836, 0.672, 0.893], [0.164, 0.328, 0.393], [0.469, 0.939, 0.085], [0.531, 0.061, 0.585], [0.469, 0.939, 0.415], [0.531, 0.061, 0.915], [0.359, 0.717, 0.250], [0.641, 0.283, 0.750], [0.847, 0.695, 0.104], [0.153, 0.305, 0.604], [0.847, 0.695, 0.396], [0.153, 0.305, 0.896], [0.543, 0.087, 0.250], [0.457, 0.913, 0.750]], "volume_a3_per_atom": 36.7, "rho_g_cm3": 4.52, "magmom_total_mub_per_fu": 0.00, "raw_formation_energy_mev_per_atom": -187}

2.
{"formula": "LaTbCeSm", "functional": "PBE", "state": "optimized geometry", "lattice_angstrom": [[5.769, 0.000, 0.000], [2.885, 4.996, 0.000], [2.885, 1.665, 4.710]], "species": ["Tb", "Ce", "Sm", "La"], "frac_coords": [[0.250, 0.250, 0.250], [0.000, 0.000, 0.000], [0.750, 0.750, 0.750], [0.500, 0.500, 0.500]], "volume_a3_per_atom": 33.9, "rho_g_cm3": 7.20, "magmom_total_mub_per_fu": 0.97, "e_above_lowest_polymorph_ev_per_atom": 0.000, "ef_mev_per_atom": 188}

3.
{"formula": "AgSn3Au", "functional": "PBE", "state": "optimized geometry", "lattice_angstrom": [[-1.606, -3.105, -4.096], [5.069, -1.667, -0.724], [-0.850, -4.072, 3.420]], "species": ["Au", "Sn", "Sn", "Sn", "Ag"], "frac_coords": [[0.000, 0.000, 0.000], [0.000, 0.500, 0.000], [0.000, 0.000, 0.500], [0.500, 0.000, 0.000], [0.500, 0.500, 0.500]], "volume_a3_per_atom": 31.2, "rho_g_cm3": 7.03, "magmom_total_mub_per_fu": 0.00, "e_above_lowest_polymorph_ev_per_atom": 0.519, "ef_mev_per_atom": 467}

4.
{"formula": "ScAl2Cd", "functional": "PBE", "state": "optimized geometry", "lattice_angstrom": [[4.615, 0.000, 0.000], [0.000, 3.089, -0.066], [0.000, 0.130, 5.609]], "species": ["Sc", "Al", "Al", "Cd"], "frac_coords": [[0.500, 0.750, 0.765], [0.000, 0.249, 0.988], [0.500, 0.249, 0.243], [0.000, 0.252, 0.505]], "volume_a3_per_atom": 20.0, "rho_g_cm3": 4.39, "magmom_total_mub_per_fu": 0.00, "ef_mev_per_atom": -172}

5.
{"formula": "Ac6Si2NCl3", "functional": "PBE", "state": "optimized geometry", "lattice_angstrom": [[7.496, 0.000, 0.008], [-3.747, 6.493, 0.008], [-1.243, -2.153, 7.343]], "species": ["Ac", "Ac", "Ac", "Ac", "Ac", "Ac", "Si", "Si", "N", "Cl", "Cl", "Cl"], "frac_coords": [[0.930, 0.626, 0.787], [0.766, 0.766, 0.222], [0.070, 0.374, 0.213], [0.626, 0.930, 0.787], [0.234, 0.234, 0.778], [0.374, 0.070, 0.213], [0.335, 0.665, 0.000], [0.665, 0.335, 0.000], [0.000, 0.000, 0.000], [0.189, 0.811, 0.500], [0.811, 0.189, 0.500], [0.500, 0.500, 0.500]], "volume_a3_per_atom": 29.8, "rho_g_cm3": 7.14, "magmom_total_mub_per_fu": 0.03, "raw_formation_energy_mev_per_atom": -1199}

6.
{"formula": "RbBaAg3", "functional": "PBE", "state": "optimized geometry", "lattice_angstrom": [[6.009, 0.000, 0.000], [0.000, 6.009, 0.000], [0.000, 0.000, 6.009]], "species": ["Rb", "Ba", "Ag", "Ag", "Ag"], "frac_coords": [[0.000, 0.000, 0.000], [0.500, 0.500, 0.500], [0.000, 0.500, 0.000], [0.000, 0.000, 0.500], [0.500, 0.000, 0.000]], "volume_a3_per_atom": 43.4, "rho_g_cm3": 4.18, "magmom_total_mub_per_fu": 0.00, "e_above_lowest_polymorph_ev_per_atom": 0.175, "ef_mev_per_atom": 509}

7.
{"formula": "NdTe2P2Pd7", "functional": "PBE", "state": "optimized geometry", "lattice_angstrom": [[4.533, -0.291, -0.268], [-0.286, 4.534, -0.268], [1.264, 1.263, 11.328]], "species": ["Nd", "Te", "Te", "P", "P", "Pd", "Pd", "Pd", "Pd", "Pd", "Pd", "Pd"], "frac_coords": [[0.000, 0.000, 0.000], [0.830, 0.830, 0.387], [0.170, 0.170, 0.613], [0.684, 0.684, 0.816], [0.316, 0.316, 0.184], [0.500, 0.500, 0.000], [0.350, 0.350, 0.393], [0.650, 0.650, 0.607], [0.838, 0.429, 0.219], [0.429, 0.838, 0.219], [0.571, 0.162, 0.781], [0.162, 0.571, 0.781]], "volume_a3_per_atom": 19.6, "rho_g_cm3": 8.52, "magmom_total_mub_per_fu": 0.00, "raw_formation_energy_mev_per_atom": -496}

8.
{"formula": "Pu2ZrP3", "functional": "PBE", "state": "optimized geometry", "lattice_angstrom": [[6.648, -0.026, -1.116], [-3.587, 5.598, -1.116], [-0.011, -0.020, 6.774]], "species": ["Pu", "Pu", "Pu", "Pu", "Zr", "Zr", "P", "P", "P", "P", "P", "P"], "frac_coords": [[0.833, 0.167, 0.500], [0.333, 0.667, 0.000], [0.168, 0.832, 0.500], [0.499, 0.501, 0.500], [0.000, 0.000, 0.000], [0.666, 0.334, 0.000], [0.591, 0.925, 0.762], [0.075, 0.409, 0.238], [0.915, 0.588, 0.759], [0.255, 0.248, 0.759], [0.412, 0.085, 0.241], [0.752, 0.745, 0.241]], "volume_a3_per_atom": 20.9, "rho_g_cm3": 8.89, "magmom_total_mub_per_fu": 4.96, "ef_mev_per_atom": -1250}

9.
{"formula": "Li5PaSe5", "functional": "PBE", "state": "optimized geometry", "lattice_angstrom": [[5.556, 0.000, 0.000], [-2.778, 6.030, -2.126], [0.000, -0.066, 7.781]], "species": ["Li", "Li", "Li", "Li", "Li", "Pa", "Se", "Se", "Se", "Se", "Se"], "frac_coords": [[0.692, 0.384, 0.319], [0.692, 0.383, 0.868], [0.000, 0.000, 0.500], [0.308, 0.617, 0.132], [0.308, 0.616, 0.681], [0.000, 0.000, 0.000], [0.849, 0.698, 0.183], [0.830, 0.660, 0.669], [0.500, 0.000, 0.000], [0.170, 0.340, 0.331], [0.151, 0.302, 0.817]], "volume_a3_per_atom": 23.6, "rho_g_cm3": 4.22, "magmom_total_mub_per_fu": 0.00, "raw_formation_energy_mev_per_atom": -1276}

10.
{"formula": "BiPdI6", "functional": "PBE", "state": "optimized geometry", "lattice_angstrom": [[-0.137, 6.750, -2.451], [-5.752, 4.090, 1.397], [0.867, 5.676, 5.446]], "species": ["Bi", "Pd", "I", "I", "I", "I", "I", "I"], "frac_coords": [[0.500, 0.500, 0.500], [0.000, 0.000, 0.000], [0.060, 0.401, 0.765], [0.773, 0.057, 0.765], [0.601, 0.226, 0.237], [0.227, 0.943, 0.235], [0.940, 0.599, 0.235], [0.399, 0.774, 0.763]], "volume_a3_per_atom": 38.3, "rho_g_cm3": 5.84, "magmom_total_mub_per_fu": 0.00, "raw_formation_energy_mev_per_atom": -180}

11.
{"formula": "BC2", "functional": "PBE", "state": "optimized geometry", "lattice_angstrom": [[-0.510, -5.616, 1.308], [3.196, 3.442, -3.266], [2.299, 0.418, 2.691]], "species": ["B", "B", "B", "B", "C", "C", "C", "C", "C", "C", "C", "C"], "frac_coords": [[0.883, 0.692, 0.233], [0.450, 0.475, 0.517], [0.383, 0.692, 0.017], [0.950, 0.475, 0.733], [0.201, 0.854, 0.527], [0.132, 0.313, 0.223], [0.830, 0.161, 0.491], [0.504, 0.005, 0.259], [0.632, 0.313, 0.027], [0.330, 0.161, 0.759], [0.004, 0.005, 0.991], [0.701, 0.854, 0.723]], "volume_a3_per_atom": 6.4, "rho_g_cm3": 3.03, "magmom_total_mub_per_fu": 0.00, "e_above_lowest_polymorph_ev_per_atom": 0.037, "ef_mev_per_atom": 277}

12.
{"formula": "LiSc2As", "functional": "PBE", "state": "optimized geometry", "lattice_angstrom": [[-4.787, -5.726, 6.118], [-3.609, -8.148, 3.704], [-1.445, -7.080, 6.398]], "species": ["Sc", "Sc", "As", "Li"], "frac_coords": [[0.890, 0.890, 0.890], [0.110, 0.110, 0.110], [0.500, 0.500, 0.500], [0.000, 0.000, 0.000]], "volume_a3_per_atom": 26.7, "rho_g_cm3": 2.67, "magmom_total_mub_per_fu": 0.00, "ef_mev_per_atom": -348}

13.
{"formula": "IrBr", "functional": "PBE", "state": "optimized geometry", "lattice_angstrom": [[2.104, -3.644, 0.000], [2.104, 3.644, 0.000], [0.000, 0.000, 13.336]], "species": ["Ir", "Ir", "Ir", "Ir", "Br", "Br", "Br", "Br"], "frac_coords": [[0.000, 0.000, 0.250], [0.000, 0.000, 0.750], [0.333, 0.667, 0.750], [0.667, 0.333, 0.250], [0.333, 0.667, 0.110], [0.667, 0.333, 0.610], [0.667, 0.333, 0.890], [0.333, 0.667, 0.390]], "volume_a3_per_atom": 25.6, "rho_g_cm3": 8.84, "magmom_total_mub_per_fu": 0.00, "e_above_lowest_polymorph_ev_per_atom": 0.686, "raw_formation_energy_mev_per_atom": 953}